# PBE-GGA Nb3MoSe8, relaxed
data_Nb3MoSe8
_space_group_name_H-M_alt 'P 1'
_space_group_IT_number 1
_space_group_name_Hall 'P 1'
_cell_length_a 5.968
_cell_length_b 3.444
_cell_length_c 13.680
_cell_angle_alpha 90.00
_cell_angle_beta 98.59
_cell_angle_gamma 90.00
loop_
_atom_site_label
_atom_site_fract_x
_atom_site_fract_y
_atom_site_fract_z
Nb1 0.000 0.000 0.000
Nb2 0.005 0.500 0.501
Nb3 0.498 0.500 0.000
Mo1 0.494 0.000 0.501
Se1 0.123 0.500 0.874
Se2 0.128 0.000 0.377
Se3 0.209 0.500 0.126
Se4 0.212 0.000 0.626
Se5 0.619 0.500 0.380
Se6 0.623 0.000 0.875
Se7 0.702 0.500 0.622
Se8 0.709 0.000 0.125
# **VASP energy**: -6.5463 eV per atom
# **Crystal system**: monoclinic
# **ρ**: 6011 kg/m³
# **Formation energy from raw total energies**: -803 meV/atom

=====

# PBE-GGA Si2Pt, relaxed
data_Si2Pt
_space_group_name_H-M_alt 'P 1'
_space_group_IT_number 1
_space_group_name_Hall 'P 1'
_cell_length_a 4.484
_cell_length_b 4.484
_cell_length_c 2.653
_cell_angle_alpha 90.00
_cell_angle_beta 90.00
_cell_angle_gamma 120.00
loop_
_atom_site_label
_atom_site_fract_x
_atom_site_fract_y
_atom_site_fract_z
Si1 0.333 0.667 0.000
Si2 0.667 0.333 0.000
Pt1 0.000 0.000 0.000
# **VASP energy**: -5.7331 eV per atom
# **Crystal system**: hexagonal
# **ρ**: 9032 kg/m³
# **Formation energy from raw total energies**: -104 meV/atom

=====

# PBE-GGA Sc6TcRh2, relaxed
data_Sc6TcRh2
_space_group_name_H-M_alt 'P 1'
_space_group_IT_number 1
_space_group_name_Hall 'P 1'
_cell_length_a 9.004
_cell_length_b 7.183
_cell_length_c 6.313
_cell_angle_alpha 83.43
_cell_angle_beta 52.42
_cell_angle_gamma 44.15
loop_
_atom_site_label
_atom_site_fract_x
_atom_site_fract_y
_atom_site_fract_z
Sc1 0.032 0.299 0.701
Sc2 0.299 0.032 0.968
Sc3 0.365 0.635 0.365
Sc4 0.635 0.365 0.635
Sc5 0.701 0.968 0.032
Sc6 0.968 0.701 0.299
Tc1 0.000 0.000 0.000
Rh1 0.332 0.332 0.668
Rh2 0.668 0.668 0.332
# **DFT formation energy**: -519 meV/atom
# **VASP energy**: -7.5257 eV per atom
# **Crystal system**: orthorhombic
# **ρ**: 5214 kg/m³